VASP calculation (PBE) on a relaxed Ac2SbP3Pt4 crystal.

Structure (POSCAR):
```
Ac2SbP3Pt4
1.0
4.4947 0.0000 0.0000
0.0000 4.4947 0.0000
0.0000 0.0000 10.0818
Ac Sb P Pt
2 1 3 4
Direct
0.0000 0.5000 0.2389
0.5000 0.0000 0.7611
0.0000 0.0000 0.5000
0.0000 0.5000 0.8765
0.5000 0.0000 0.1235
0.5000 0.5000 0.5000
0.0000 0.0000 0.0000
0.0000 0.5000 0.6375
0.5000 0.0000 0.3625
0.5000 0.5000 0.0000
```

Values from the calculation:
Its density of states at the Fermi level is 0.2818 states/eV/atom. As for the crystal system: tetragonal. Its raw formation energy is -898 meV per atom. The value obtained for the calculated volume is 204 Å³/f.u. The calculation puts the final energy at -6.1713 eV per atom.

VASP calculation (PBE) on a relaxed Co2Ni8Ir crystal.

Structure (POSCAR):
```
Co2Ni8Ir
1.0
6.4371 -1.7757 0.0000
6.4371 1.7757 0.0000
-1.4527 0.0000 5.4312
Co Ni Ir
2 8 1
Direct
0.2261 0.2261 0.1305
0.7739 0.7739 0.8695
0.0483 0.0483 0.2230
0.1390 0.1390 0.6880
0.3156 0.3156 0.5889
0.4066 0.4066 0.0443
0.5934 0.5934 0.9557
0.6844 0.6844 0.4111
0.8610 0.8610 0.3120
0.9517 0.9517 0.7770
0.5000 0.5000 0.5000
```

Values from the calculation:
Its density of states at the Fermi level is 1.3560 states/eV/atom. As for the crystal system: monoclinic. The value obtained for the calculated volume is 124 Å³/f.u. The value obtained for the energy of formation is 0.007 eV/atom. The calculation puts the final energy at -6.2951 eV per atom.

VASP calculation (PBE) on a relaxed NaTlMo2Pt crystal.

Structure (POSCAR):
```
NaTlMo2Pt
1.0
5.3705 0.0000 0.0000
0.0000 5.3705 0.0000
0.0000 0.0000 5.1372
Na Tl Mo Pt
1 1 2 1
Direct
0.0000 0.0000 0.0000
0.5000 0.5000 0.5000
0.0000 0.5000 0.5000
0.5000 0.0000 0.5000
0.5000 0.5000 0.0000
```

Values from the calculation:
Its density of states at the Fermi level is 0.6453 states/eV/atom. As for the crystal system: tetragonal. The value obtained for the calculated volume is 148 Å³/f.u. The value obtained for the energy of formation is 1.898 eV/atom. The calculation puts the final energy at -4.3797 eV per atom.

VASP calculation (PBE) on a relaxed Ba2PmReO6 crystal.

Structure (POSCAR):
```
Ba2PmReO6
1.0
0.0000 4.2945 4.2945
4.2945 0.0000 4.2945
4.2945 4.2945 0.0000
Ba Pm Re O
2 1 1 6
Direct
0.2500 0.2500 0.2500
0.7500 0.7500 0.7500
0.0000 0.0000 0.0000
0.5000 0.5000 0.5000
0.2690 0.2690 0.7310
0.2690 0.7310 0.2690
0.2690 0.7310 0.7310
0.7310 0.2690 0.2690
0.7310 0.2690 0.7310
0.7310 0.7310 0.2690
```

Values from the calculation:
Its density of states at the Fermi level is 0.4355 states/eV/atom. As for the crystal system: cubic. Its raw formation energy is -2554 meV per atom. The value obtained for the calculated volume is 158 Å³/f.u. The calculation puts the final energy at -7.6338 eV per atom.